[1]
A plane-wave DFT calculation with PBE-GGA was carried out for an optimized crystal structure of Zn2Pd7Au.

a = 7.240 Å, b = 12.641 Å, c = 4.232 Å
α = 90.00°, β = 90.00°, γ = 90.00°
Space group Cmmm (No. 65)
Inequivalent atoms, fractional coordinates:
Zn: 0.000 0.197 0.000 x4
Pd: 0.000 0.000 0.000 x2
Pd: 0.000 0.289 0.500 x4
Pd: 0.186 0.387 0.000 x8
Au: 0.000 0.500 0.500 x2

Properties
- Crystal system: orthorhombic
- DOS(E_F): 0.90 states/eV/atom
- Total DFT energy (no corrections): -4.001 eV per atom
- M_tot: 0.00 μB per cell
- Energy of formation: 217 meV per atom

[2]
A plane-wave DFT calculation with PBE-GGA was carried out for an optimized crystal structure of Zn2Pd5Au2.

a = 8.980 Å, b = 13.905 Å, c = 4.784 Å
α = 90.00°, β = 90.00°, γ = 90.00°
Space group Imma (No. 74)
Inequivalent atoms, fractional coordinates:
Zn: 0.000 0.000 0.000 x4
Zn: 0.000 0.250 0.090 x4
Pd: 0.250 0.046 0.750 x8
Pd: 0.250 0.150 0.250 x8
Pd: 0.250 0.250 0.750 x4
Au: 0.000 0.141 0.587 x8

Properties
- Crystal system: orthorhombic
- DOS(E_F): 0.54 states/eV/atom
- Total DFT energy (no corrections): -4.058 eV per atom
- M_tot: 0.00 μB per cell
- Energy of formation: -162 meV per atom

[3]
A plane-wave DFT calculation with PBE-GGA was carried out for an optimized crystal structure of Zn5PdAu3.

a = 7.604 Å, b = 7.604 Å, c = 10.945 Å
α = 90.00°, β = 90.00°, γ = 90.00°
Space group I4/mcm (No. 140)
Inequivalent atoms, fractional coordinates:
Zn: 0.000 0.000 0.000 x4
Zn: 0.198 0.302 0.140 x16
Pd: 0.000 0.500 0.250 x4
Au: 0.000 0.000 0.250 x4
Au: 0.123 0.377 0.500 x8

Properties
- Crystal system: tetragonal
- DOS(E_F): 0.36 states/eV/atom
- Total DFT energy (no corrections): -2.460 eV per atom
- M_tot: 0.00 μB per cell
- Energy of formation: -82 meV per atom

[4]
A plane-wave DFT calculation with PBE-GGA was carried out for an optimized crystal structure of Zn2Pd4Au.

a = 6.136 Å, b = 6.136 Å, c = 6.201 Å
α = 90.00°, β = 90.00°, γ = 90.00°
Space group I4/mmm (No. 139)
Inequivalent atoms, fractional coordinates:
Zn: 0.000 0.500 0.000 x4
Pd: 0.250 0.250 0.250 x8
Au: 0.000 0.000 0.000 x2

Properties
- Crystal system: tetragonal
- DOS(E_F): 1.01 states/eV/atom
- Total DFT energy (no corrections): -4.017 eV per atom
- M_tot: 0.00 μB per cell
- Energy of formation: -218 meV per atom

[5]
A plane-wave DFT calculation with PBE-GGA was carried out for an optimized crystal structure of Zn4Pd7Au.

a = 10.990 Å, b = 5.207 Å, c = 8.070 Å
α = 90.00°, β = 121.50°, γ = 90.00°
Space group C2/m (No. 12)
Inequivalent atoms, fractional coordinates:
Zn: 0.013 0.000 0.184 x4
Zn: 0.246 0.500 0.186 x4
Pd: 0.000 0.000 0.500 x2
Pd: 0.010 0.500 0.844 x4
Pd: 0.229 0.000 0.124 x4
Pd: 0.248 0.500 0.509 x4
Au: 0.000 0.500 0.500 x2

Properties
- Crystal system: monoclinic
- DOS(E_F): 0.58 states/eV/atom
- Total DFT energy (no corrections): -3.883 eV per atom
- M_tot: 0.00 μB per cell
- Energy of formation: -156 meV per atom

[6]
A plane-wave DFT calculation with PBE-GGA was carried out for an optimized crystal structure of ZnPd3Au.

a = 12.451 Å, b = 8.009 Å, c = 8.796 Å
α = 90.00°, β = 134.61°, γ = 90.00°
Space group C2/c (No. 15)
Inequivalent atoms, fractional coordinates:
Zn: 0.000 0.116 0.250 x4
Zn: 0.000 0.367 0.750 x4
Pd: 0.097 0.125 0.646 x8
Pd: 0.098 0.374 0.150 x8
Pd: 0.200 0.126 0.047 x8
Au: 0.200 0.377 0.552 x8

Properties
- Crystal system: monoclinic
- DOS(E_F): 0.38 states/eV/atom
- Total DFT energy (no corrections): -4.295 eV per atom
- M_tot: 0.00 μB per cell
- Energy of formation: -269 meV per atom